Density functional theory data (PBE-GGA) for SrCd2SN after structural relaxation.

Raw total energy ... -17.78 eV/cell
Formation energy (no corrections) ... -0.363 eV per atom
SG ... No. 123

Lattice parameters (Å, degrees): 4.4687 4.4687 5.6051 90.00 90.00 90.00
With the nearest neighbours (Å) after each atom.
Element x y z (fractional)
1 Sr 0.0000 0.0000 0.0000  2 N 2.80
2 Cd 0.0000 0.5000 0.5000  2 N 2.23
3 Cd 0.5000 0.0000 0.5000  2 N 2.23
4 S 0.5000 0.5000 0.0000  4 Sr 3.16
5 N 0.0000 0.0000 0.5000  4 Cd 2.23

---

Density functional theory data (PBE-GGA) for SrCd2SN after structural relaxation.

Raw total energy ... -11.32 eV/cell
Formation energy (no corrections) ... 0.929 eV per atom
SG ... No. 123

Lattice parameters (Å, degrees): 7.1272 7.1272 5.4251 90.00 90.00 90.00
With the nearest neighbours (Å) after each atom.
Element x y z (fractional)
1 Sr 0.0000 0.0000 0.0000  2 S 2.71
2 Cd 0.0000 0.5000 0.0000  2 Sr 3.56
3 Cd 0.5000 0.0000 0.0000  2 Sr 3.56
4 S 0.0000 0.0000 0.5000  2 Sr 2.71
5 N 0.5000 0.5000 0.5000  8 Cd 4.48

---

Density functional theory data (PBE-GGA) for SrCdSN2 after structural relaxation.

Raw total energy ... -17.02 eV/cell
Formation energy (no corrections) ... 1.270 eV per atom
SG ... No. 123

Lattice parameters (Å, degrees): 4.7935 4.7935 5.9210 90.00 90.00 90.00
With the nearest neighbours (Å) after each atom.
Element x y z (fractional)
1 Sr 0.0000 0.0000 0.0000  4 N 2.40
2 Cd 0.5000 0.5000 0.5000  4 S 3.39
3 S 0.0000 0.0000 0.5000  2 Sr 2.96
4 N 0.0000 0.5000 0.0000  2 Sr 2.40
5 N 0.5000 0.0000 0.0000  2 Sr 2.40

---

Density functional theory data (PBE-GGA) for SrCdSN2 after structural relaxation.

Raw total energy ... -20.09 eV/cell
Formation energy (no corrections) ... 0.656 eV per atom
SG ... No. 123

Lattice parameters (Å, degrees): 4.3774 4.3774 5.3247 90.00 90.00 90.00
With the nearest neighbours (Å) after each atom.
Element x y z (fractional)
1 Sr 0.0000 0.0000 0.0000  4 S 3.10, 8 N 3.45
2 Cd 0.5000 0.5000 0.5000  4 N 2.19
3 S 0.5000 0.5000 0.0000  2 Cd 2.66
4 N 0.0000 0.5000 0.5000  2 Cd 2.19
5 N 0.5000 0.0000 0.5000  2 Cd 2.19

---

Density functional theory data (PBE-GGA) for CdTcS2N after structural relaxation.

Raw total energy ... -27.08 eV/cell
Formation energy (no corrections) ... 0.156 eV per atom
SG ... No. 123

Lattice parameters (Å, degrees): 4.8685 4.8685 3.7213 90.00 90.00 90.00
With the nearest neighbours (Å) after each atom.
Element x y z (fractional)
1 Cd 0.0000 0.0000 0.0000  8 S 3.06
2 Tc 0.5000 0.5000 0.5000  2 N 1.86
3 S 0.0000 0.5000 0.5000  2 Tc 2.43
4 S 0.5000 0.0000 0.5000  2 Tc 2.43
5 N 0.5000 0.5000 0.0000  2 Tc 1.86

---

Density functional theory data (PBE-GGA) for CdTcS2N after structural relaxation.

Raw total energy ... -18.50 eV/cell
Formation energy (no corrections) ... 1.872 eV per atom
SG ... No. 123

Lattice parameters (Å, degrees): 4.9725 4.9725 4.0167 90.00 90.00 90.00
With the nearest neighbours (Å) after each atom.
Element x y z (fractional)
1 Cd 0.0000 0.0000 0.0000  2 N 2.01
2 Tc 0.5000 0.5000 0.5000  8 S 3.20, 4 N 3.52
3 S 0.0000 0.5000 0.0000  2 Cd 2.49
4 S 0.5000 0.0000 0.0000  2 Cd 2.49
5 N 0.0000 0.0000 0.5000  2 Cd 2.01

---

Density functional theory data (PBE-GGA) for CdTe2SN after structural relaxation.

Raw total energy ... -13.02 eV/cell
Formation energy (no corrections) ... 1.326 eV per atom
SG ... No. 123

Lattice parameters (Å, degrees): 5.7079 5.7079 4.0582 90.00 90.00 90.00
With the nearest neighbours (Å) after each atom.
Element x y z (fractional)
1 Cd 0.0000 0.0000 0.0000  2 N 2.03
2 Te 0.0000 0.5000 0.0000  2 Cd 2.85
3 Te 0.5000 0.0000 0.0000  2 Cd 2.85
4 S 0.5000 0.5000 0.5000  8 Te 3.50
5 N 0.0000 0.0000 0.5000  2 Cd 2.03

---

Density functional theory data (PBE-GGA) for CdTeSN2 after structural relaxation.

Raw total energy ... -16.91 eV/cell
Formation energy (no corrections) ... 1.584 eV per atom
SG ... No. 123

Lattice parameters (Å, degrees): 3.9601 3.9601 5.4859 90.00 90.00 90.00
With the nearest neighbours (Å) after each atom.
Element x y z (fractional)
1 Cd 0.0000 0.0000 0.0000  4 Te 2.80
2 Te 0.5000 0.5000 0.0000  2 S 2.74, 4 Cd 2.80
3 S 0.5000 0.5000 0.5000  4 N 1.98
4 N 0.0000 0.5000 0.5000  2 S 1.98
5 N 0.5000 0.0000 0.5000  2 S 1.98

---

Density functional theory data (PBE-GGA) for CdTeSN2 after structural relaxation.

Raw total energy ... -19.27 eV/cell
Formation energy (no corrections) ... 1.113 eV per atom
SG ... No. 123

Lattice parameters (Å, degrees): 3.9542 3.9542 5.6149 90.00 90.00 90.00
With the nearest neighbours (Å) after each atom.
Element x y z (fractional)
1 Cd 0.0000 0.0000 0.0000  4 S 2.80
2 Te 0.5000 0.5000 0.5000  4 N 1.98
3 S 0.5000 0.5000 0.0000  4 Cd 2.80, 2 Te 2.81
4 N 0.0000 0.5000 0.5000  2 Te 1.98
5 N 0.5000 0.0000 0.5000  2 Te 1.98

---

Density functional theory data (PBE-GGA) for CdTe2SN after structural relaxation.

Raw total energy ... -16.28 eV/cell
Formation energy (no corrections) ... 0.673 eV per atom
SG ... No. 123

Lattice parameters (Å, degrees): 6.0661 6.0661 3.2501 90.00 90.00 90.00
With the nearest neighbours (Å) after each atom.
Element x y z (fractional)
1 Cd 0.0000 0.0000 0.0000  2 Cd 3.25, 8 Te 3.44
2 Te 0.0000 0.5000 0.5000  2 S 3.03, 2 Te 3.25
3 Te 0.5000 0.0000 0.5000  2 S 3.03, 2 Te 3.25
4 S 0.5000 0.5000 0.5000  2 N 1.63
5 N 0.5000 0.5000 0.0000  2 S 1.63

---

Density functional theory data (PBE-GGA) for CdTeSN2 after structural relaxation.

Raw total energy ... -16.22 eV/cell
Formation energy (no corrections) ... 1.723 eV per atom
SG ... No. 123

Lattice parameters (Å, degrees): 4.2303 4.2303 5.9487 90.00 90.00 90.00
With the nearest neighbours (Å) after each atom.
Element x y z (fractional)
1 Cd 0.0000 0.0000 0.0000  4 N 2.12
2 Te 0.5000 0.5000 0.5000  4 S 2.99
3 S 0.0000 0.0000 0.5000  2 Cd 2.97, 4 Te 2.99
4 N 0.0000 0.5000 0.0000  2 Cd 2.12
5 N 0.5000 0.0000 0.0000  2 Cd 2.12

---

Density functional theory data (PBE-GGA) for CdTeSN2 after structural relaxation.

Raw total energy ... -16.06 eV/cell
Formation energy (no corrections) ... 1.755 eV per atom
SG ... No. 123

Lattice parameters (Å, degrees): 4.1735 4.1735 6.7509 90.00 90.00 90.00
With the nearest neighbours (Å) after each atom.
Element x y z (fractional)
1 Cd 0.0000 0.0000 0.0000  4 N 2.09
2 Te 0.0000 0.0000 0.5000  4 S 2.95
3 S 0.5000 0.5000 0.5000  4 Te 2.95
4 N 0.0000 0.5000 0.0000  2 Cd 2.09
5 N 0.5000 0.0000 0.0000  2 Cd 2.09

---

Number 1: E above lowest polymorph 0.0000 eV/atom, magnetic moment 0.00 μB/f.u.. Number 2: E above lowest polymorph 1.2925 eV/atom, magnetic moment 3.00 μB/f.u.. Number 3: E above lowest polymorph 0.6137 eV/atom, magnetic moment 4.43 μB/f.u.. Number 4: E above lowest polymorph 0.0000 eV/atom, magnetic moment 3.32 μB/f.u.. Number 5: E above lowest polymorph 0.0000 eV/atom, magnetic moment 0.00 μB/f.u.. Number 6: E above lowest polymorph 1.7155 eV/atom, magnetic moment 2.16 μB/f.u.. Number 7: E above lowest polymorph 0.6525 eV/atom, magnetic moment 1.69 μB/f.u.. Number 8: E above lowest polymorph 0.4712 eV/atom, magnetic moment 1.89 μB/f.u.. Number 9: E above lowest polymorph 0.0000 eV/atom, magnetic moment 0.00 μB/f.u.. Number 10: E above lowest polymorph 0.0000 eV/atom, magnetic moment 0.00 μB/f.u.. Number 11: E above lowest polymorph 0.6096 eV/atom, magnetic moment 4.24 μB/f.u.. Number 12: E above lowest polymorph 0.6423 eV/atom, magnetic moment 3.92 μB/f.u..